Compound: SmCu2B2O6
Source: the Alexandria database
Functional: PBE
Structure: relaxed

The uncorrected formation energy is -1981 meV per atom. Its magnetic moment is 1.039 μB per formula unit. As for the space group: P-3. The value obtained for the electronic total energy is -77.802 eV/cell. For the calculated volume, the calculation gives 143.1 Å³ per cell.

Unit cell a=5.1543 b=5.1543 c=6.2180 alpha=90.00 beta=90.00 gamma=120.00
Fractional coordinates of all 11 atoms:
O 0.9319 0.3267 0.2287
O 0.3267 0.3948 0.7713
O 0.6052 0.9319 0.7713
O 0.0681 0.6733 0.7713
O 0.3948 0.0681 0.2287
O 0.6733 0.6052 0.2287
Sm 0.0000 0.0000 0.0000
B 0.3333 0.6667 0.7663
B 0.6667 0.3333 0.2337
Cu 0.6667 0.3333 0.7307
Cu 0.3333 0.6667 0.2693